The following is a PBE calculation of a relaxed La2MnMoIr crystal, from Alexandria via LeMat-Bulk.

Unit cell a=5.5097 b=5.5097 c=4.7106 alpha=90.00 beta=90.00 gamma=90.00
Last column: nearest neighbours and their distance in Å.
Fractional positions:
La (0.0000, 0.5000, 0.0000)  2 Mo 2.75
La (0.5000, 0.0000, 0.0000)  2 Mo 2.75
Mn (0.0000, 0.0000, 0.5000)  8 La 3.62, 4 Ir 3.90
Mo (0.5000, 0.5000, 0.0000)  2 Ir 2.36
Ir (0.5000, 0.5000, 0.5000)  2 Mo 2.36

Its total magnetic moment is 4.5 μB/f.u. As for the energy relative to the elements: 0.6644 eV per atom. As for the crystal system: tetragonal.